Entry from Alexandria: an optimized crystal structure of Ga2PtRh (PBE-GGA).

abc: 3.8371 3.8371 15.5919
angles: 90.00 90.00 120.00
Closest atoms and distances in Å follow each position.
Space group R3m (No. 160, hexagonal axes)
Symmetry-distinct sites (fractional):
Ga1 0.0000 0.0000 0.0000 (multiplicity 3)  3 Pt 2.60, 1 Ga 2.65, 3 Rh 2.66
Ga2 0.0000 0.0000 0.1702 (multiplicity 3)  3 Pt 2.51, 3 Rh 2.52, 1 Ga 2.65
Pt1 0.0000 0.0000 0.5792 (multiplicity 3)  6 Ga 2.51-2.60
Rh1 0.0000 0.0000 0.7605 (multiplicity 3)  6 Ga 2.52-2.66

ΔE_f	-0.51	eV per atom

=====

Entry from Alexandria: an optimized crystal structure of Pa5Nb (PBE-GGA).

abc: 3.1806 16.1235 5.5252
angles: 90.00 90.00 90.00
Closest atoms and distances in Å follow each position.
Space group Cmmm (No. 65)
Symmetry-distinct sites (fractional):
Pa1 0.0000 0.0000 0.0000 (multiplicity 2)  6 Pa 3.08-3.18, 4 Nb 3.19
Pa2 0.0000 0.1659 0.5000 (multiplicity 4)  2 Nb 3.11, 8 Pa 3.15-3.19
Pa3 0.0000 0.3365 0.0000 (multiplicity 4)  10 Pa 3.08-3.21
Nb1 0.0000 0.5000 0.5000 (multiplicity 2)  8 Pa 3.11-3.19, 2 Nb 3.18

ΔE_f	0.07	eV per atom

=====

Entry from Alexandria: an optimized crystal structure of AlCuAs2 (PBE-GGA).

abc: 5.5339 7.0391 4.0808
angles: 90.00 116.82 90.00
Closest atoms and distances in Å follow each position.
Space group C2/m (No. 12)
Symmetry-distinct sites (fractional):
Al1 0.0000 0.0000 0.0000 (multiplicity 2)  4 As 2.57, 2 Cu 2.77
Cu1 0.0000 0.5000 0.0000 (multiplicity 2)  4 As 2.57, 2 Al 2.77
As1 0.2500 0.2500 0.5000 (multiplicity 4)  2 Al 2.57, 2 Cu 2.57, 2 As 2.77

ΔE_f	0.09	eV per atom

=====

Entry from Alexandria: an optimized crystal structure of Ta2CoHg (PBE-GGA).

abc: 5.6241 8.1833 2.9173
angles: 90.00 90.00 90.00
Closest atoms and distances in Å follow each position.
Space group Cmmm (No. 65)
Symmetry-distinct sites (fractional):
Ta1 0.2500 0.2500 0.0000 (multiplicity 4)  4 Ta 2.81-2.92, 4 Hg 2.88, 4 Co 2.88
Co1 0.0000 0.0000 0.5000 (multiplicity 2)  2 Hg 2.81, 8 Ta 2.88, 2 Co 2.92
Hg1 0.0000 0.5000 0.5000 (multiplicity 2)  2 Co 2.81, 8 Ta 2.88, 2 Hg 2.92

ΔE_f	0.30	eV per atom

=====

Entry from Alexandria: an optimized crystal structure of Re2NiPb (PBE-GGA).

abc: 2.9014 2.9014 27.3328
angles: 90.00 90.00 120.00
Closest atoms and distances in Å follow each position.
Space group R-3m (No. 166, hexagonal axes)
Symmetry-distinct sites (fractional):
Re1 0.0000 0.0000 0.2384 (multiplicity 6)  3 Ni 2.58
Ni1 0.0000 0.0000 0.5000 (multiplicity 3)  6 Re 2.58
Pb1 0.0000 0.0000 0.0000 (multiplicity 3)  6 Pb 2.90, 6 Re 3.09

ΔE_f	0.89	eV per atom

=====

Entry from Alexandria: an optimized crystal structure of Ca2Tl2TcO6 (PBE-GGA).

abc: 5.8369 9.9706 6.5937
angles: 90.00 105.04 90.00
Closest atoms and distances in Å follow each position.
Space group C2/m (No. 12)
Symmetry-distinct sites (fractional):
Ca1 0.0000 0.1639 0.0000 (multiplicity 4)  6 O 2.36-2.39
Tl1 0.0000 0.3352 0.5000 (multiplicity 4)  4 O 2.71-2.72
Tc1 0.0000 0.5000 0.0000 (multiplicity 2)  6 O 1.95-2.00
O1 0.1902 0.3583 0.1665 (multiplicity 8)  1 Tc 1.95
O2 0.2237 0.5000 0.8165 (multiplicity 4)  1 Tc 2.00

uncorrected formation energy	-1.747	eV/atom

=====

The evaluated total magnetization for the records listed, in turn: 0.0; 0.0; 0.0; 0.8; 0.0; 1.0 μB/f.u..
The evaluated DOS at the Fermi energy for the records listed, in turn: 4.287; 25.793; 3.370; 5.585; 14.216; 8.357 states/eV per cell.